(1)
Below is crystalline ZnPdCl at its relaxed geometry, with properties calculated at the PBE-GGA level.

Cell lengths 3.242, 3.273, 11.858 Å; angles 90.00, 90.00, 119.69 degrees
Sites, in units of the cell vectors:
Zn 0.509 0.019 0.000
Cl 0.179 0.359 0.864
Zn 0.378 0.756 0.500
Pd 0.710 0.421 0.353
Cl 0.179 0.359 0.136
Pd 0.710 0.421 0.647

Summary:
For the energy, the calculation gives -3.05 eV per atom. Its formation energy (no corrections) is -0.28 eV per atom. Its total magnetic moment is 0.00 μB per formula unit.


(2)
Below is crystalline Co3SiOs at its relaxed geometry, with properties calculated at the PBE-GGA level.

Cell lengths 4.103, 4.103, 4.103 Å; angles 90.00, 90.00, 90.00 degrees
Last column: magnetic moment on the atom in μB.
Sites, in units of the cell vectors:
Co 0.000 0.000 0.500  1.10
Co 0.500 0.000 0.000  1.43
Si 0.000 0.000 0.000  -0.05
Co 0.000 0.500 0.000  1.24
Os 0.500 0.500 0.500  1.88

Summary:
As for the energy above the most stable polymorph in this dataset: 0 meV/atom. For the energy, the calculation gives -6.61 eV per atom. Its formation energy (no corrections) is 0.98 eV per atom. Its total magnetic moment is 5.61 μB per formula unit.


(3)
Below is crystalline BeSiO2 at its relaxed geometry, with properties calculated at the PBE-GGA level.

Cell lengths 4.552, 4.552, 5.076 Å; angles 63.36, 63.36, 90.00 degrees
Sites, in units of the cell vectors:
O 0.533 0.125 0.250
O 0.875 0.783 0.750
Be 0.250 0.750 0.500
O 0.375 0.467 0.750
Be 0.500 0.500 0.000
Si 0.000 0.000 0.000
O 0.217 0.625 0.250
Si 0.750 0.250 0.500

Summary:
As for the energy above the most stable polymorph in this dataset: 442 meV/atom. For the energy, the calculation gives -6.15 eV per atom. Its formation energy (no corrections) is -1.39 eV per atom. Its total magnetic moment is 0.00 μB per formula unit.


(4)
Below is crystalline Li2Tb3In6 at its relaxed geometry, with properties calculated at the PBE-GGA level.

Cell lengths 4.555, 4.555, 13.285 Å; angles 99.87, 99.87, 90.00 degrees
Sites, in units of the cell vectors:
In 0.099 0.599 0.198
Tb 0.000 0.000 0.000
In 0.684 0.684 0.369
In 0.901 0.401 0.802
In 0.599 0.099 0.198
Li 0.545 0.545 0.090
Tb 0.805 0.805 0.610
In 0.316 0.316 0.631
In 0.401 0.901 0.802
Tb 0.195 0.195 0.390
Li 0.455 0.455 0.910

Summary:
As for the formation enthalpy at 0 K: -0.323 eV per atom. For the energy, the calculation gives -3.43 eV per atom. Its total magnetic moment is 0.00 μB per formula unit.